This record from the Alexandria database describes a relaxed structure of Na2H5Rh2. The functional is PBE-GGA.

a b c (Å): 3.2101 5.5652 5.6227
angles (deg): 98.75 90.00 106.76
With the nearest neighbours (Å) after each atom.
Element x y z (fractional)
H 0.0518 0.1037 0.6325  1 Rh 1.61, 1 H 1.71
H 0.3258 0.6517 0.9986  3 Rh 1.74-1.92
H 0.9482 0.8963 0.3675  1 Rh 1.61, 1 H 1.71
Na 0.3930 0.7861 0.6461  5 H 2.21-2.38
Rh 0.1458 0.2916 0.8874  4 H 1.61-1.77
Na 0.6070 0.2139 0.3539  5 H 2.21-2.38
Rh 0.8542 0.7084 0.1126  4 H 1.61-1.77
H 0.0000 0.0000 0.0000  2 Rh 1.77
H 0.6742 0.3483 0.0014  3 Rh 1.74-1.92

Results
Space-group type: C2/m
V, Å³ per cell: 95.0
N(E_F), states/eV per cell: 2.28

This record from the Alexandria database describes a relaxed structure of YNbGe2. The functional is PBE-GGA.

a b c (Å): 7.4104 7.4104 6.0825
angles (deg): 52.47 52.47 90.00
With the nearest neighbours (Å) after each atom.
Element x y z (fractional)
Y 0.5000 0.5000 0.0000  4 Ge 2.86, 2 Nb 3.09
Ge 0.8750 0.8992 0.7500  2 Nb 2.61, 2 Y 2.86
Ge 0.1008 0.6250 0.2500  2 Nb 2.61, 2 Y 2.86
Ge 0.3750 0.3508 0.7500  2 Nb 2.61, 2 Y 2.86
Nb 0.0000 0.0000 0.0000  4 Ge 2.61
Y 0.2500 0.7500 0.5000  4 Ge 2.86, 2 Nb 3.09
Ge 0.6492 0.1250 0.2500  2 Nb 2.61, 2 Y 2.86
Nb 0.7500 0.2500 0.5000  4 Ge 2.61

Results
Space-group type: I-42d
V, Å³ per cell: 169.6
Calculated formation energy, eV per atom: -0.28
N(E_F), states/eV per cell: 1.11
Distance to the lowest polymorph of the same formula, eV per atom: 0.229

This record from the Alexandria database describes a relaxed structure of KCa4Te. The functional is PBE-GGA.

a b c (Å): 7.1415 7.1415 7.1415
angles (deg): 60.00 60.00 60.00
With the nearest neighbours (Å) after each atom.
Element x y z (fractional)
Ca 0.3743 0.3743 0.8772  6 Ca 3.55-3.59
Ca 0.3743 0.3743 0.3743  6 Ca 3.55-3.59
Te 0.0000 0.0000 0.0000  12 Ca 4.18, 4 K 4.37
K 0.7500 0.7500 0.7500  12 Ca 4.19, 4 Te 4.37
Ca 0.3743 0.8772 0.3743  6 Ca 3.55-3.59
Ca 0.8772 0.3743 0.3743  6 Ca 3.55-3.59

Results
ΔE_f (raw), eV per atom: 0.03
Space-group type: F-43m
V, Å³ per cell: 257.5
N(E_F), states/eV per cell: 7.33

This record from the Alexandria database describes a relaxed structure of SbTe2HOs. The functional is PBE-GGA.

a b c (Å): 5.3709 5.3709 5.0807
angles (deg): 90.00 90.00 90.00
With the nearest neighbours (Å) after each atom.
Element x y z (fractional)
Te 0.5000 0.0000 0.0000  2 Os 2.69
Sb 0.0000 0.0000 0.5000  2 Os 2.54
Te 0.0000 0.5000 0.0000  2 Os 2.69
Os 0.0000 0.0000 0.0000  2 Sb 2.54, 4 Te 2.69
H 0.5000 0.5000 0.5000  8 Te 3.70, 4 Sb 3.80

Results
Space-group type: P4/mmm
V, Å³ per cell: 146.6
N(E_F), states/eV per cell: 6.01
Distance to the lowest polymorph of the same formula, eV per atom: 0.045

This record from the Alexandria database describes a relaxed structure of K2NaCdHg. The functional is PBE-GGA.

a b c (Å): 6.6753 6.6753 5.4464
angles (deg): 90.00 90.00 90.00
With the nearest neighbours (Å) after each atom.
Element x y z (fractional)
Cd 0.0000 0.0000 0.5000  2 Hg 2.72
K 0.0000 0.5000 0.0000  2 Hg 3.34
K 0.5000 0.0000 0.0000  2 Hg 3.34
Na 0.5000 0.5000 0.5000  8 K 4.31, 4 Cd 4.72
Hg 0.0000 0.0000 0.0000  2 Cd 2.72

Results
Space-group type: P4/mmm
V, Å³ per cell: 242.7
Calculated formation energy, eV per atom: 0.02
N(E_F), states/eV per cell: 3.42
Distance to the lowest polymorph of the same formula, eV per atom: 0.071

This record from the Alexandria database describes a relaxed structure of CeHfZrN3. The functional is PBE-GGA.

a b c (Å): 3.3270 5.6908 8.7231
angles (deg): 102.55 90.00 90.00
With the nearest neighbours (Å) after each atom.
Element x y z (fractional)
Zr 0.7500 0.8671 0.3590  5 N 2.24-2.28
Hf 0.2500 0.7669 0.0445  6 N 2.19-2.36
N 0.7500 0.2534 0.5033  3 Zr 2.24-2.28, 1 Ce 2.48
N 0.7500 0.0373 0.1460  3 Hf 2.19-2.31, 1 Zr 2.27
N 0.7500 0.5537 0.1508  3 Hf 2.21-2.36, 1 Zr 2.25
Ce 0.7500 0.6485 0.6923  7 N 2.48-2.62
Hf 0.7500 0.2331 0.9555  6 N 2.19-2.36
N 0.2500 0.7466 0.4967  3 Zr 2.24-2.28, 1 Ce 2.48
Ce 0.2500 0.3515 0.3077  7 N 2.48-2.62
Zr 0.2500 0.1329 0.6410  5 N 2.24-2.28
N 0.2500 0.4463 0.8492  3 Hf 2.21-2.36, 1 Zr 2.25
N 0.2500 0.9627 0.8540  3 Hf 2.19-2.31, 1 Zr 2.27

Results
ΔE_f (raw), eV per atom: -1.61
Space-group type: P2_1/m
V, Å³ per cell: 161.2
N(E_F), states/eV per cell: 6.63

This record from the Alexandria database describes a relaxed structure of Na2TbPaSe4. The functional is PBE-GGA.

a b c (Å): 4.0977 7.1872 7.4807
angles (deg): 108.28 90.00 90.00
With the nearest neighbours (Å) after each atom.
Element x y z (fractional)
Tb 0.0000 0.0000 0.0000  6 Se 2.90-2.91
Se 0.5000 0.7546 0.7667  1 Pa 2.90, 2 Tb 2.90, 3 Na 3.04-3.05
Se 0.0000 0.7470 0.2367  1 Tb 2.91, 2 Pa 2.92, 3 Na 3.02-3.04
Na 0.5000 0.0000 0.5000  6 Se 3.02-3.05
Na 0.0000 0.5000 0.5000  6 Se 3.04
Se 0.0000 0.2530 0.7633  1 Tb 2.91, 2 Pa 2.92, 3 Na 3.02-3.04
Pa 0.5000 0.5000 0.0000  6 Se 2.90-2.92
Se 0.5000 0.2454 0.2333  1 Pa 2.90, 2 Tb 2.90, 3 Na 3.04-3.05

Results
ΔE_f (raw), eV per atom: -1.47
Space-group type: P2/m
V, Å³ per cell: 209.2
N(E_F), states/eV per cell: 6.67

This record from the Alexandria database describes a relaxed structure of Cs8PdAu4. The functional is PBE-GGA.

a b c (Å): 10.3877 10.3877 10.3877
angles (deg): 60.06 60.06 60.06
With the nearest neighbours (Å) after each atom.
Element x y z (fractional)
Cs 0.2692 0.7420 0.7420  1 Pd 3.56, 3 Au 3.59-3.79
Cs 0.7420 0.7420 0.2692  1 Pd 3.56, 3 Au 3.59-3.79
Cs 0.7308 0.2580 0.2580  1 Pd 3.56, 3 Au 3.59-3.79
Cs 0.2580 0.7308 0.2580  1 Pd 3.56, 3 Au 3.59-3.79
Pd 0.5000 0.5000 0.5000  6 Cs 3.56
Cs 0.7420 0.2692 0.7420  1 Pd 3.56, 3 Au 3.59-3.79
Au 0.5000 0.5000 0.0000  6 Cs 3.59
Cs 0.2559 0.2559 0.2559  3 Au 3.59
Au 0.5000 0.0000 0.5000  6 Cs 3.59
Cs 0.2580 0.2580 0.7308  1 Pd 3.56, 3 Au 3.59-3.79
Au 0.0000 0.0000 0.0000  6 Cs 3.79
Au 0.0000 0.5000 0.5000  6 Cs 3.59
Cs 0.7441 0.7441 0.7441  3 Au 3.59

Results
Space-group type: R-3m
V, Å³ per cell: 793.6
Calculated formation energy, eV per atom: -0.17
N(E_F), states/eV per cell: 8.35

no.,theoretical density (g cm⁻³),uncorrected energy (eV per atom)
1,4.49,-3.90
2,6.40,-6.73
3,2.11,-2.01
4,6.44,-3.90
5,2.83,-0.93
6,9.31,-9.84
7,5.97,-5.30
8,4.10,-2.10